Mn2Se2O7 after structural relaxation. Source: Alexandria, functional PBE+U.

Cell and atoms, written as CIF:
```
data_Mn2Se2O7
_cell_length_a 6.0169
_cell_length_b 5.2422
_cell_length_c 5.2422
_cell_angle_alpha 102.52
_cell_angle_beta 93.06
_cell_angle_gamma 93.06
_symmetry_space_group_name_H-M 'P 1'
_symmetry_Int_Tables_number 1
loop_
_symmetry_equiv_pos_as_xyz
'x,y,z'
loop_
_atom_site_label
_atom_site_type_symbol
_atom_site_fract_x
_atom_site_fract_y
_atom_site_fract_z
O1 O 0.6823 0.3549 0.0206
O2 O 0.2981 0.4441 0.4441
O3 O 0.7019 0.5559 0.5559
O4 O 0.3177 0.6451 0.9794
O5 O 0.3177 0.9794 0.6451
O6 O 0.6823 0.0206 0.3549
O7 O 0.0000 0.0000 0.0000
Se1 Se 0.8568 0.2338 0.2338
Se2 Se 0.1432 0.7662 0.7662
Mn1 Mn 0.5000 0.6782 0.3218
Mn2 Mn 0.5000 0.3218 0.6782
```

Calculated values
Excess energy over the best structure of this formula in the dataset, meV per atom: 8
Uncorrected energy, eV/f.u.: -67.73